Crystalline GaOsSeN2 at its relaxed geometry, computed with PBE.

## Properties
symmetry: P4/mmm, No. 123
energy above the most stable polymorph in this dataset: 1600 meV per atom

Cell lengths 3.6133, 7.2377, 3.6133 Å; angles 90.00, 90.00, 90.00 degrees
Last column: magnetic moment on the atom in μB.
Fractional positions:
N1 0.0000 0.0000 0.5000  -0.05
N2 0.5000 0.0000 0.0000  -0.03
Ga1 0.0000 0.5000 0.0000  -0.06
Se1 0.0000 0.0000 0.0000  0.01
Os1 0.5000 0.5000 0.5000  1.21

---

Crystalline GaOsSeN2 at its relaxed geometry, computed with PBE.

## Properties
symmetry: P4/mmm, No. 123
energy above the most stable polymorph in this dataset: 0 meV per atom

Cell lengths 3.8217, 3.8217, 5.4344 Å; angles 90.00, 90.00, 90.00 degrees
Fractional positions:
N1 0.5000 0.0000 0.0000
N2 0.0000 0.5000 0.0000
Se1 0.0000 0.0000 0.5000
Os1 0.0000 0.0000 0.0000
Ga1 0.5000 0.5000 0.5000

---

Crystalline GaOsSe2N at its relaxed geometry, computed with PBE.

## Properties
symmetry: P4/mmm, No. 123
energy above the most stable polymorph in this dataset: 1081 meV per atom

Cell lengths 5.0321, 5.0321, 3.4942 Å; angles 90.00, 90.00, 90.00 degrees
Last column: magnetic moment on the atom in μB.
Fractional positions:
Se1 0.5000 0.0000 0.0000  0.09
Se2 0.0000 0.5000 0.0000  0.09
N1 0.0000 0.0000 0.5000  0.75
Os1 0.5000 0.5000 0.5000  0.85
Ga1 0.0000 0.0000 0.0000  0.03

---

Crystalline GaOsSe2N at its relaxed geometry, computed with PBE.

## Properties
symmetry: P4/mmm, No. 123
energy above the most stable polymorph in this dataset: 0 meV per atom

Cell lengths 5.1756, 5.1756, 3.6778 Å; angles 90.00, 90.00, 90.00 degrees
Fractional positions:
Ga1 0.5000 0.5000 0.5000
N1 0.0000 0.0000 0.5000
Se1 0.0000 0.5000 0.0000
Se2 0.5000 0.0000 0.0000
Os1 0.0000 0.0000 0.0000

---

Crystalline GaTe2OsN at its relaxed geometry, computed with PBE.

## Properties
symmetry: P4/mmm, No. 123
energy above the most stable polymorph in this dataset: 1077 meV per atom

Cell lengths 5.4098, 5.4098, 3.4571 Å; angles 90.00, 90.00, 90.00 degrees
Last column: magnetic moment on the atom in μB.
Fractional positions:
N1 0.0000 0.0000 0.5000  0.16
Os1 0.5000 0.5000 0.5000  0.60
Te1 0.0000 0.5000 0.0000  0.03
Te2 0.5000 0.0000 0.0000  0.03
Ga1 0.0000 0.0000 0.0000  0.03

---

Crystalline GaTeOsN2 at its relaxed geometry, computed with PBE.

## Properties
symmetry: P4/mmm, No. 123
energy above the most stable polymorph in this dataset: 1248 meV per atom

Cell lengths 3.7734, 3.7734, 6.7390 Å; angles 90.00, 90.00, 90.00 degrees
Last column: magnetic moment on the atom in μB.
Fractional positions:
Os1 0.5000 0.5000 0.5000  1.07
Te1 0.0000 0.0000 0.5000  0.02
N1 0.0000 0.5000 0.0000  0.72
N2 0.5000 0.0000 0.0000  0.72
Ga1 0.0000 0.0000 0.0000  -0.01

---

Crystalline GaTe2OsN at its relaxed geometry, computed with PBE.

## Properties
symmetry: P4/mmm, No. 123
energy above the most stable polymorph in this dataset: 0 meV per atom

Cell lengths 5.5569, 5.5569, 3.6708 Å; angles 90.00, 90.00, 90.00 degrees
Fractional positions:
Os1 0.0000 0.0000 0.0000
N1 0.0000 0.0000 0.5000
Te1 0.5000 0.0000 0.0000
Te2 0.0000 0.5000 0.0000
Ga1 0.5000 0.5000 0.5000

---

Crystalline GaTeOsN2 at its relaxed geometry, computed with PBE.

## Properties
symmetry: P4/mmm, No. 123
energy above the most stable polymorph in this dataset: 0 meV per atom

Cell lengths 3.8762, 3.8762, 5.7300 Å; angles 90.00, 90.00, 90.00 degrees
Fractional positions:
Ga1 0.5000 0.5000 0.5000
Os1 0.0000 0.0000 0.0000
Te1 0.0000 0.0000 0.5000
N1 0.5000 0.0000 0.0000
N2 0.0000 0.5000 0.0000

---

Crystalline GaPN at its relaxed geometry, computed with PBE.

## Properties
symmetry: C2/m, No. 12

Cell lengths 3.4924, 3.4924, 11.5716 Å; angles 101.59, 101.59, 90.01 degrees
Fractional positions:
N1 0.5094 0.5094 0.4532
N2 0.4906 0.4906 0.5468
Ga1 0.6926 0.6926 0.9138
Ga2 0.3074 0.3074 0.0862
P1 0.1551 0.1551 0.8574
P2 0.8449 0.8449 0.1426

---

Crystalline GaPN3 at its relaxed geometry, computed with PBE.

## Properties
symmetry: Pm-3m, No. 221

Cell lengths 3.8878, 3.8878, 3.8878 Å; angles 90.00, 90.00, 90.00 degrees
Last column: magnetic moment on the atom in μB.
Fractional positions:
P1 0.5000 0.5000 0.5000  -0.34
N1 0.5000 0.0000 0.0000  0.86
N2 0.0000 0.5000 0.0000  1.00
N3 0.0000 0.0000 0.5000  0.78
Ga1 0.0000 0.0000 0.0000  0.04

---

Crystalline Ga3PN at its relaxed geometry, computed with PBE.

## Properties
symmetry: Pm-3m, No. 221
energy above the most stable polymorph in this dataset: 811 meV per atom

Cell lengths 4.7039, 4.7039, 4.7039 Å; angles 90.00, 90.00, 90.00 degrees
Last column: magnetic moment on the atom in μB.
Fractional positions:
N1 0.5000 0.5000 0.5000  0.48
P1 0.0000 0.0000 0.0000  0.00
Ga1 0.5000 0.0000 0.0000  -0.02
Ga2 0.0000 0.0000 0.5000  0.01
Ga3 0.0000 0.5000 0.0000  0.02

---

Crystalline GaPN3 at its relaxed geometry, computed with PBE.

## Properties
symmetry: Pm-3m, No. 221

Cell lengths 3.5094, 3.5094, 3.5094 Å; angles 90.00, 90.00, 90.00 degrees
Fractional positions:
Ga1 0.5000 0.5000 0.5000
N1 0.5000 0.0000 0.0000
N2 0.0000 0.0000 0.5000
N3 0.0000 0.5000 0.0000
P1 0.0000 0.0000 0.0000

---

Crystalline Ga3PN at its relaxed geometry, computed with PBE.

## Properties
symmetry: Pm-3m, No. 221
energy above the most stable polymorph in this dataset: 0 meV per atom

Cell lengths 4.3172, 4.3172, 4.3172 Å; angles 90.00, 90.00, 90.00 degrees
Fractional positions:
Ga1 0.0000 0.0000 0.5000
Ga2 0.5000 0.0000 0.0000
Ga3 0.0000 0.5000 0.0000
P1 0.5000 0.5000 0.5000
N1 0.0000 0.0000 0.0000

---

Crystalline Pa2GaPN6 at its relaxed geometry, computed with PBE.

## Properties
symmetry: P4mm, No. 99

Cell lengths 4.6122, 5.1223, 5.1223 Å; angles 90.00, 90.00, 90.00 degrees
Fractional positions:
Pa1 0.0160 0.5000 0.0000
Pa2 0.0160 0.0000 0.5000
P1 0.5935 0.0000 0.0000
N1 0.7157 0.2315 0.2315
N2 0.7157 0.2315 0.7685
N3 0.1561 0.5000 0.5000
N4 0.2331 0.0000 0.0000
N5 0.7157 0.7685 0.7685
N6 0.7157 0.7685 0.2315
Ga1 0.5693 0.5000 0.5000

---

E_tot
In order: -23.844 -31.843 -22.579 -27.985 -22.026 -24.724 -27.411 -30.964 -16.544 -23.365 -16.560 -28.695 -20.617 -84.645
Unit: eV/f.u.
Formation energy without anion corrections
In order: 2.110 0.510 1.394 0.313 1.368 1.865 0.291 0.617 0.073 2.010 1.251 0.943 0.440 -0.726
Unit: eV per atom